[1]
! PBE TbEr5Mg6, relaxed; values from VASP
! - Crystal system: monoclinic
! - Symmetry: P2/m (10)
&SYSTEM
  ibrav = 0, nat = 12, ntyp = 3
/
ATOMIC_SPECIES
Tb 158.93 Tb.upf
Er 167.26 Er.upf
Mg 24.30 Mg.upf
CELL_PARAMETERS angstrom
5.3447 0.0000 0.0000
0.0000 7.5054 0.0000
-2.6699 0.0000 8.0160
ATOMIC_POSITIONS crystal
Tb 0.0000 0.0000 0.0000
Er 0.0000 0.5000 0.0000
Er 0.3320 0.0000 0.6655
Er 0.3333 0.5000 0.6680
Er 0.6667 0.5000 0.3320
Er 0.6680 0.0000 0.3345
Mg 0.1684 0.2509 0.3346
Mg 0.1684 0.7491 0.3346
Mg 0.5000 0.2507 0.0000
Mg 0.5000 0.7493 0.0000
Mg 0.8316 0.2509 0.6654
Mg 0.8316 0.7491 0.6654

***

[2]
! PBE Tb2Er5Mg, relaxed; values from VASP
! - Crystal system: monoclinic
! - Symmetry: Cm (8)
&SYSTEM
  ibrav = 0, nat = 8, ntyp = 3
/
ATOMIC_SPECIES
Tb 158.93 Tb.upf
Er 167.26 Er.upf
Mg 24.30 Mg.upf
CELL_PARAMETERS angstrom
4.9219 -4.9337 0.0000
4.9219 4.9337 0.0000
-4.9157 0.0000 4.9331
ATOMIC_POSITIONS crystal
Tb 0.0000 0.0000 0.0000
Tb 0.5005 0.5005 0.4999
Er 0.0004 0.4995 0.4997
Er 0.0004 0.5001 0.0000
Er 0.4995 0.0004 0.4997
Er 0.5001 0.0004 0.0000
Er 0.9993 0.9993 0.4996
Mg 0.4997 0.4997 0.9996

***

[3]
! PBE Tb5Er3Mg, relaxed; values from VASP
! - Crystal system: monoclinic
! - Symmetry: C2/m (12)
&SYSTEM
  ibrav = 0, nat = 18, ntyp = 3
/
ATOMIC_SPECIES
Tb 158.93 Tb.upf
Er 167.26 Er.upf
Mg 24.30 Mg.upf
CELL_PARAMETERS angstrom
7.2630 -5.7516 0.0000
7.2630 5.7516 0.0000
-4.9040 0.0000 7.6595
ATOMIC_POSITIONS crystal
Tb 0.0493 0.0493 0.3509
Tb 0.0978 0.5723 0.3293
Tb 0.2423 0.7577 0.0000
Tb 0.3134 0.3134 0.5722
Tb 0.4277 0.9022 0.6707
Tb 0.5723 0.0978 0.3293
Tb 0.6866 0.6866 0.4278
Tb 0.7577 0.2423 0.0000
Tb 0.9022 0.4277 0.6707
Tb 0.9507 0.9507 0.6491
Er 0.1443 0.1443 0.0967
Er 0.2010 0.2010 0.7817
Er 0.5000 0.5000 0.0000
Er 0.5000 0.5000 0.5000
Er 0.7990 0.7990 0.2183
Er 0.8557 0.8557 0.9033
Mg 0.3681 0.3681 0.1429
Mg 0.6319 0.6319 0.8571

***

[4]
! PBE Tb3Er12Mg, relaxed; values from VASP
! - Crystal system: tetragonal
! - Symmetry: P4/mmm (123)
&SYSTEM
  ibrav = 0, nat = 16, ntyp = 3
/
ATOMIC_SPECIES
Tb 158.93 Tb.upf
Er 167.26 Er.upf
Mg 24.30 Mg.upf
CELL_PARAMETERS angstrom
4.9505 0.0000 0.0000
0.0000 4.9505 0.0000
0.0000 0.0000 19.8464
ATOMIC_POSITIONS crystal
Tb 0.0000 0.0000 0.0000
Tb 0.0000 0.0000 0.2517
Tb 0.0000 0.0000 0.7483
Er 0.0000 0.5000 0.1263
Er 0.0000 0.5000 0.3771
Er 0.0000 0.5000 0.6229
Er 0.0000 0.5000 0.8737
Er 0.5000 0.0000 0.1263
Er 0.5000 0.0000 0.3771
Er 0.5000 0.0000 0.6229
Er 0.5000 0.0000 0.8737
Er 0.5000 0.5000 0.0000
Er 0.5000 0.5000 0.2545
Er 0.5000 0.5000 0.5000
Er 0.5000 0.5000 0.7455
Mg 0.0000 0.0000 0.5000

***

What energy of formation from the pure elements values result from the calculations? In sequence: -6.8, 2.4, 59.0, 2.1 kJ per mole of atoms.
What electronic total energy values result from the calculations? In sequence: -3.155, -4.184, -3.659, -4.368 eV/atom.